Model P:
Material: Dy4ThSc
Method: DFT, PBE-GGA
State: relaxed

Unit cell a=3.5249 b=5.9880 c=17.2370 alpha=89.62 beta=90.00 gamma=90.00
Sites, in units of the cell vectors:
Dy: 0.5004 0.8367 0.6627
Dy: 0.0004 0.3422 0.6654
Dy: 0.4996 0.1633 0.3373
Dy: 0.4996 0.8422 0.1654
Dy: 0.9996 0.6578 0.3346
Dy: 0.0004 0.6633 0.8373
Dy: 0.9996 0.3367 0.1627
Dy: 0.5004 0.1578 0.8346
Th: 0.0000 0.0000 0.0000
Th: 0.5000 0.5000 0.5000
Sc: 0.5000 0.5000 0.0000
Sc: 0.0000 0.0000 0.5000

For the total magnetization, the calculation gives 0.000 μB per cell.

=====

Model Q:
Material: Dy4ThSc
Method: DFT, PBE-GGA
State: relaxed

Unit cell a=5.6369 b=6.4166 c=6.6034 alpha=94.79 beta=64.73 gamma=63.94
Sites, in units of the cell vectors:
Dy: 0.8416 0.8491 0.4678
Dy: 0.3375 0.3145 0.0106
Dy: 0.6625 0.6855 0.9894
Dy: 0.1584 0.1509 0.5322
Th: 0.5000 0.5000 0.5000
Sc: 0.0000 0.0000 0.0000

For the total magnetization, the calculation gives 0.001 μB per cell.

=====

model P (0.083 eV/atom below the next structure)

=====

Model P:
Material: Dy12ThSc6
Method: DFT, PBE-GGA
State: relaxed

Unit cell a=9.0275 b=9.0275 c=9.0275 alpha=109.47 beta=109.47 gamma=109.47
Sites, in units of the cell vectors:
Sc: 0.5000 0.1385 0.6385
Sc: 0.5000 0.8615 0.3615
Sc: 0.3615 0.5000 0.8615
Sc: 0.8615 0.3615 0.5000
Sc: 0.1385 0.6385 0.5000
Sc: 0.6385 0.5000 0.1385
Dy: 0.5375 0.8030 0.7345
Dy: 0.1970 0.7345 0.9315
Dy: 0.7345 0.9315 0.1970
Dy: 0.0685 0.8030 0.2655
Dy: 0.1970 0.2655 0.4625
Dy: 0.2655 0.4625 0.1970
Dy: 0.4625 0.1970 0.2655
Dy: 0.2655 0.0685 0.8030
Dy: 0.8030 0.2655 0.0685
Dy: 0.8030 0.7345 0.5375
Dy: 0.7345 0.5375 0.8030
Dy: 0.9315 0.1970 0.7345
Th: 0.0000 0.0000 0.0000

For the total magnetization, the calculation gives 0.000 μB per cell.

=====

Model Q:
Material: Dy12ThSc6
Method: DFT, PBE-GGA
State: relaxed

Unit cell a=8.4202 b=8.4202 c=8.4202 alpha=98.61 beta=98.61 gamma=98.61
Sites, in units of the cell vectors:
Dy: 0.2648 0.7351 0.0001
Dy: 0.7352 0.2649 0.9999
Dy: 0.2649 0.9999 0.7352
Dy: 0.5886 0.1707 0.5888
Dy: 0.7351 0.0001 0.2648
Dy: 0.9999 0.7352 0.2649
Dy: 0.4112 0.4114 0.8293
Dy: 0.4114 0.8293 0.4112
Dy: 0.5888 0.5886 0.1707
Dy: 0.0001 0.2648 0.7351
Dy: 0.1707 0.5888 0.5886
Dy: 0.8293 0.4112 0.4114
Sc: 0.5986 0.8571 0.8573
Sc: 0.8571 0.8573 0.5986
Sc: 0.8573 0.5986 0.8571
Sc: 0.4014 0.1429 0.1427
Sc: 0.1429 0.1427 0.4014
Sc: 0.1427 0.4014 0.1429
Th: 0.0000 0.0000 0.0000

For the total magnetization, the calculation gives 0.002 μB per cell.

=====

model Q (0.065 eV/atom below the next structure)

=====

Model P:
Material: Dy3Th3Sc5
Method: DFT, PBE-GGA
State: relaxed

Unit cell a=6.2229 b=9.6009 c=8.3036 alpha=125.69 beta=82.77 gamma=65.39
Sites, in units of the cell vectors:
Dy: 0.7629 0.1127 0.0872
Dy: 0.2978 0.0380 0.7983
Dy: 0.2789 0.8631 0.1499
Sc: 0.4713 0.1566 0.5051
Sc: 0.3641 0.4062 0.0254
Sc: 0.3919 0.5878 0.6105
Sc: 0.6964 0.5777 0.2299
Sc: 0.8242 0.3162 0.7018
Th: 0.0404 0.4119 0.4115
Th: 0.9418 0.8632 0.5350
Th: 0.9303 0.6664 0.9453

For the total magnetization, the calculation gives 0.000 μB per cell.

=====

Model Q:
Material: Dy3Th3Sc5
Method: DFT, PBE-GGA
State: relaxed

Unit cell a=5.4927 b=8.9921 c=8.9921 alpha=120.00 beta=90.00 gamma=90.00
Sites, in units of the cell vectors:
Sc: 0.5000 0.0000 0.6216
Sc: 0.5000 0.3784 0.3784
Sc: 0.5000 0.3333 0.6667
Sc: 0.5000 0.6667 0.3333
Sc: 0.5000 0.6216 0.0000
Dy: 0.0000 0.0000 0.4877
Dy: 0.0000 0.5123 0.5123
Dy: 0.0000 0.4877 0.0000
Th: 0.5000 0.0000 0.2514
Th: 0.5000 0.7486 0.7486
Th: 0.5000 0.2514 0.0000

For the total magnetization, the calculation gives 0.001 μB per cell.

=====

model P (0.716 eV/atom below the next structure)

=====

Model P:
Material: DyTh3Sc
Method: DFT, PBE-GGA
State: relaxed

Unit cell a=6.7608 b=6.7608 c=6.7608 alpha=90.45 beta=90.45 gamma=90.45
Sites, in units of the cell vectors:
Dy: 0.1295 0.1295 0.1295
Dy: 0.8705 0.8705 0.8705
Th: 0.2560 0.9124 0.5851
Th: 0.9124 0.5851 0.2560
Th: 0.7440 0.0876 0.4149
Th: 0.0876 0.4149 0.7440
Th: 0.4149 0.7440 0.0876
Th: 0.5851 0.2560 0.9124
Sc: 0.6215 0.6215 0.6215
Sc: 0.3785 0.3785 0.3785

For the total magnetization, the calculation gives 0.000 μB per cell.

=====

Model Q:
Material: DyTh3Sc
Method: DFT, PBE-GGA
State: relaxed

Unit cell a=6.0601 b=9.2460 c=6.1148 alpha=71.35 beta=99.77 gamma=77.33
Sites, in units of the cell vectors:
Th: 0.3427 0.0515 0.6952
Th: 0.0507 0.1459 0.1038
Th: 0.6573 0.9485 0.3048
Th: 0.1443 0.4500 0.3034
Th: 0.8557 0.5500 0.6966
Th: 0.9493 0.8541 0.8962
Dy: 0.5459 0.6505 0.1008
Dy: 0.4541 0.3495 0.8992
Sc: 0.7508 0.2474 0.5008
Sc: 0.2492 0.7526 0.4992

For the total magnetization, the calculation gives 0.000 μB per cell.

=====

model Q (0.240 eV/atom below the next structure)

=====

Model P:
Material: Dy8ThSc2
Method: DFT, PBE-GGA
State: relaxed

Unit cell a=4.9535 b=7.8244 c=9.2480 alpha=104.91 beta=105.53 gamma=90.00
Sites, in units of the cell vectors:
Sc: 0.7712 0.3664 0.5425
Sc: 0.2288 0.6336 0.4575
Dy: 0.8620 0.8114 0.7239
Dy: 0.4062 0.5436 0.8123
Dy: 0.0469 0.7317 0.0938
Dy: 0.6820 0.9116 0.3639
Dy: 0.3180 0.0884 0.6361
Dy: 0.9531 0.2683 0.9062
Dy: 0.1380 0.1886 0.2761
Dy: 0.5938 0.4564 0.1877
Th: 0.5000 0.0000 0.0000

For the total magnetization, the calculation gives 0.000 μB per cell.

=====

Model Q:
Material: Dy8ThSc2
Method: DFT, PBE-GGA
State: relaxed

Unit cell a=5.3049 b=8.2238 c=9.1954 alpha=116.56 beta=106.73 gamma=90.00
Sites, in units of the cell vectors:
Dy: 0.0000 0.2949 0.9999
Dy: 0.8417 0.8415 0.6833
Dy: 0.3530 0.1465 0.7061
Dy: 0.3532 0.5595 0.7063
Dy: 0.0000 0.7051 0.0001
Dy: 0.1583 0.1585 0.3167
Dy: 0.6470 0.8535 0.2939
Dy: 0.6468 0.4405 0.2937
Th: 0.5000 0.0000 0.0000
Sc: 0.7994 0.2995 0.5986
Sc: 0.2006 0.7005 0.4014

For the total magnetization, the calculation gives 0.000 μB per cell.

=====

model P (0.084 eV/atom below the next structure)

=====

Model P:
Material: DyTh2Sc3
Method: DFT, PBE-GGA
State: relaxed

Unit cell a=3.4753 b=8.9220 c=11.1567 alpha=90.00 beta=90.00 gamma=101.23
Sites, in units of the cell vectors:
Sc: 0.6670 0.3341 0.9928
Sc: 0.6670 0.3341 0.5072
Sc: 0.8893 0.7786 0.2500
Sc: 0.3330 0.6659 0.0072
Sc: 0.1107 0.2214 0.7500
Sc: 0.3330 0.6659 0.4928
Dy: 0.7783 0.5565 0.7500
Dy: 0.2217 0.4435 0.2500
Th: 0.4452 0.8904 0.7500
Th: 0.0000 0.0000 0.5000
Th: 0.5548 0.1096 0.2500
Th: 0.0000 0.0000 0.0000

For the total magnetization, the calculation gives 0.000 μB per cell.

=====

Model Q:
Material: DyTh2Sc3
Method: DFT, PBE-GGA
State: relaxed

Unit cell a=3.4846 b=3.4846 c=13.9662 alpha=90.00 beta=90.00 gamma=90.00
Sites, in units of the cell vectors:
Sc: 0.0000 0.0000 0.3303
Sc: 0.0000 0.0000 0.6697
Sc: 0.0000 0.0000 0.0000
Dy: 0.5000 0.5000 0.5000
Th: 0.5000 0.5000 0.8333
Th: 0.5000 0.5000 0.1667

For the total magnetization, the calculation gives 0.000 μB per cell.

=====

model Q (0.021 eV/atom below the next structure)

=====

Model P:
Material: Dy4Th2Sc3
Method: DFT, PBE-GGA
State: relaxed

Unit cell a=6.0652 b=8.9534 c=10.7996 alpha=71.58 beta=73.91 gamma=89.79
Sites, in units of the cell vectors:
Dy: 0.6210 0.8653 0.6084
Dy: 0.1683 0.5867 0.8317
Dy: 0.0517 0.8041 0.0573
Dy: 0.3790 0.1347 0.3916
Dy: 0.4946 0.0778 0.8348
Dy: 0.5054 0.9222 0.1652
Dy: 0.9483 0.1959 0.9427
Dy: 0.8317 0.4133 0.1683
Sc: 0.6098 0.6905 0.9438
Sc: 0.3902 0.3095 0.0562
Sc: 0.9500 0.0291 0.2751
Sc: 0.0500 0.9709 0.7249
Sc: 0.2900 0.3551 0.6106
Sc: 0.7100 0.6449 0.3894
Th: 0.2902 0.5324 0.2769
Th: 0.7098 0.4676 0.7231
Th: 0.8374 0.2608 0.5071
Th: 0.1626 0.7392 0.4929

For the total magnetization, the calculation gives 0.000 μB per cell.

=====

Model Q:
Material: Dy4Th2Sc3
Method: DFT, PBE-GGA
State: relaxed

Unit cell a=3.4679 b=3.4679 c=25.6110 alpha=90.00 beta=90.00 gamma=120.00
Sites, in units of the cell vectors:
Th: 0.6667 0.3333 0.0900
Th: 0.6667 0.3333 0.8724
Dy: 0.6667 0.3333 0.2234
Dy: 0.0000 0.0000 0.5460
Dy: 0.6667 0.3333 0.4313
Dy: 0.0000 0.0000 0.7557
Sc: 0.6667 0.3333 0.6505
Sc: 0.0000 0.0000 0.3266
Sc: 0.0000 0.0000 0.9812

For the total magnetization, the calculation gives 0.000 μB per cell.

=====

model P (0.036 eV/atom below the next structure)

=====

Model P:
Material: DyTh6Sc
Method: DFT, PBE-GGA
State: relaxed

Unit cell a=5.9128 b=8.2994 c=8.3004 alpha=41.74 beta=69.13 gamma=69.13
Sites, in units of the cell vectors:
Th: 0.6224 0.8773 0.8779
Th: 0.3776 0.1227 0.1221
Th: 0.1224 0.3782 0.3771
Th: 0.2471 0.7537 0.7521
Th: 0.8776 0.6218 0.6229
Th: 0.7529 0.2463 0.2479
Sc: 0.0000 0.0000 0.0000
Dy: 0.5000 0.5000 0.5000

For the total magnetization, the calculation gives 0.000 μB per cell.

=====

Model Q:
Material: DyTh6Sc
Method: DFT, PBE-GGA
State: relaxed

Unit cell a=5.0058 b=5.0058 c=10.0139 alpha=90.00 beta=90.00 gamma=90.00
Sites, in units of the cell vectors:
Th: 0.0000 0.5000 0.2455
Th: 0.5000 0.5000 0.5000
Th: 0.0000 0.5000 0.7545
Th: 0.5000 0.5000 0.0000
Th: 0.5000 0.0000 0.7545
Th: 0.5000 0.0000 0.2455
Dy: 0.0000 0.0000 0.5000
Sc: 0.0000 0.0000 0.0000

For the total magnetization, the calculation gives 0.000 μB per cell.

=====

model Q (0.066 eV/atom below the next structure)

=====

Model P:
Material: Dy2Th2Sc
Method: DFT, PBE-GGA
State: relaxed

Unit cell a=6.1532 b=5.7135 c=9.2731 alpha=90.00 beta=70.74 gamma=90.00
Sites, in units of the cell vectors:
Th: 0.8282 0.7500 0.5089
Th: 0.1718 0.2500 0.4911
Th: 0.5695 0.2500 0.7060
Th: 0.4305 0.7500 0.2940
Dy: 0.2363 0.7500 0.7009
Dy: 0.7637 0.2500 0.2991
Dy: 0.9615 0.2500 0.8962
Dy: 0.0385 0.7500 0.1038
Sc: 0.6229 0.7500 0.9059
Sc: 0.3771 0.2500 0.0941

For the total magnetization, the calculation gives 0.000 μB per cell.

=====

Model Q:
Material: Dy2Th2Sc
Method: DFT, PBE-GGA
State: relaxed

Unit cell a=4.9828 b=7.0292 c=17.4289 alpha=90.00 beta=90.00 gamma=90.00
Sites, in units of the cell vectors:
Th: 0.7500 0.6257 0.3505
Th: 0.7500 0.6241 0.7517
Th: 0.2500 0.3759 0.2483
Th: 0.7500 0.1241 0.7483
Th: 0.2500 0.8743 0.8505
Th: 0.7500 0.1257 0.1495
Th: 0.2500 0.8759 0.2517
Th: 0.2500 0.3743 0.6495
Sc: 0.7500 0.1299 0.5511
Sc: 0.2500 0.8701 0.4489
Sc: 0.2500 0.3701 0.0511
Sc: 0.7500 0.6299 0.9489
Dy: 0.2500 0.8795 0.6488
Dy: 0.2500 0.3795 0.8512
Dy: 0.2500 0.3754 0.4508
Dy: 0.7500 0.1205 0.3512
Dy: 0.7500 0.6205 0.1488
Dy: 0.2500 0.8754 0.0492
Dy: 0.7500 0.1246 0.9508
Dy: 0.7500 0.6246 0.5492

For the total magnetization, the calculation gives 0.001 μB per cell.

=====

model Q (0.012 eV/atom below the next structure)

=====

Model P:
Material: DyYThSc
Method: DFT, PBE-GGA
State: relaxed

Unit cell a=5.5514 b=5.5514 c=5.5514 alpha=60.00 beta=60.00 gamma=60.00
Sites, in units of the cell vectors:
Sc: 0.7500 0.7500 0.7500
Y: 0.2500 0.2500 0.2500
Dy: 0.5000 0.5000 0.5000
Th: 0.0000 0.0000 0.0000

For the total magnetization, the calculation gives 0.001 μB per cell.

=====

Model Q:
Material: DyYThSc
Method: DFT, PBE-GGA
State: relaxed

Unit cell a=3.5402 b=3.5408 c=11.2965 alpha=90.00 beta=99.01 gamma=120.00
Sites, in units of the cell vectors:
Y: 0.9641 0.3803 0.3592
Dy: 0.4723 0.1340 0.6219
Sc: 0.1338 0.9649 0.1139
Th: 0.3078 0.5516 0.8747

For the total magnetization, the calculation gives 0.053 μB per cell.

=====

model Q (0.094 eV/atom below the next structure)

=====

Model P:
Material: DyThScZn
Method: DFT, PBE-GGA
State: relaxed

Unit cell a=5.2642 b=5.2642 c=5.2642 alpha=60.00 beta=60.00 gamma=60.00
Site moments in Bohr magnetons follow the coordinates.
Sites, in units of the cell vectors:
Th: 0.7500 0.7500 0.7500  0.20
Zn: 0.0000 0.0000 0.0000  -0.01
Dy: 0.2500 0.2500 0.2500  0.22
Sc: 0.5000 0.5000 0.5000  0.34

For the total magnetization, the calculation gives 1.078 μB per cell.

=====

Model Q:
Material: DyThScZn
Method: DFT, PBE-GGA
State: relaxed

Unit cell a=3.4914 b=3.4914 c=8.2696 alpha=90.00 beta=90.00 gamma=90.00
Sites, in units of the cell vectors:
Sc: 0.5000 0.5000 0.3648
Zn: 0.0000 0.0000 0.5524
Dy: 0.5000 0.5000 0.7817
Th: 0.0000 0.0000 0.0859

For the total magnetization, the calculation gives 0.000 μB per cell.

=====

model Q (0.195 eV/atom below the next structure)